[1]
YPtW2 | GGA-PBE | optimized geometry

Calculated values
DFT formation energy = 0.187 eV/atom
DOS at the Fermi energy = 3.36 states/eV/f.u.
Space group = Imm2
Raw total energy = -9.416 eV per atom
Total moment = 0.00 μB per cell

Lattice parameters (Å, degrees): 5.3743 5.3743 5.3743 142.60 126.47 67.12
Positions (direct):
W 0.9870 0.9870 0.0000
Pt 0.2348 0.7348 0.5000
W 0.7762 0.2762 0.5000
Y 0.5020 0.5020 0.0000


[2]
YPt2W | GGA-PBE | optimized geometry

Calculated values
DFT formation energy = -0.276 eV/atom
DOS at the Fermi energy = 2.27 states/eV/f.u.
Space group = P4mm
Raw total energy = -8.151 eV per atom
Total moment = 0.00 μB per cell

Lattice parameters (Å, degrees): 3.4128 3.4128 6.4625 90.00 90.00 90.00
Positions (direct):
Pt 0.0000 0.0000 0.0238
W 0.0000 0.0000 0.4447
Pt 0.5000 0.5000 0.2656
Y 0.5000 0.5000 0.7659


[3]
YPt2W | GGA-PBE | optimized geometry

Calculated values
DFT formation energy = -0.218 eV/atom
DOS at the Fermi energy = 3.87 states/eV/f.u.
Space group = Imm2
Raw total energy = -8.093 eV per atom
Total moment = 0.00 μB per cell

Lattice parameters (Å, degrees): 5.9063 5.9063 5.9063 151.31 131.57 57.27
Positions (direct):
Pt 0.7442 0.2442 0.5000
Pt 0.9816 0.9816 0.0000
Y 0.2493 0.7493 0.5000
W 0.5250 0.5250 0.0000


[4]
YPt2W | GGA-PBE | optimized geometry

Calculated values
DFT formation energy = -0.410 eV/atom
DOS at the Fermi energy = 3.64 states/eV/f.u.
Space group = Pmmm
Raw total energy = -8.285 eV per atom
Total moment = 0.00 μB per cell

Lattice parameters (Å, degrees): 2.8715 3.7882 6.8063 90.00 90.00 90.00
Positions (direct):
Pt 0.0000 0.0000 0.0440
Y 0.5000 0.5000 0.7500
Pt 0.0000 0.0000 0.4560
W 0.5000 0.5000 0.2500


[5]
Y3PtW | GGA-PBE | optimized geometry

Calculated values
DFT formation energy = 0.611 eV/atom
DOS at the Fermi energy = 4.37 states/eV/f.u.
Space group = Pm-3m
Raw total energy = -7.067 eV per atom
Total moment = 0.00 μB per cell

Lattice parameters (Å, degrees): 5.2809 5.2809 5.2809 90.00 90.00 90.00
Positions (direct):
Pt 0.5000 0.5000 0.5000
W 0.0000 0.0000 0.0000
Y 0.0000 0.0000 0.5000
Y 0.0000 0.5000 0.0000
Y 0.5000 0.0000 0.0000


[6]
YPtW2 | GGA-PBE | optimized geometry

Calculated values
DFT formation energy = 0.104 eV/atom
DOS at the Fermi energy = 3.75 states/eV/f.u.
Space group = P4mm
Raw total energy = -9.499 eV per atom
Total moment = 0.00 μB per cell

Lattice parameters (Å, degrees): 2.8536 2.8536 8.9047 90.00 90.00 90.00
Positions (direct):
W 0.0000 0.0000 0.9842
Pt 0.5000 0.5000 0.7762
W 0.5000 0.5000 0.2296
Y 0.0000 0.0000 0.5100


[7]
YPtW2 | GGA-PBE | optimized geometry

Calculated values
DFT formation energy = -0.029 eV/atom
DOS at the Fermi energy = 3.50 states/eV/f.u.
Space group = Pmm2
Raw total energy = -9.632 eV per atom
Total moment = 0.00 μB per cell

Lattice parameters (Å, degrees): 3.2677 3.2972 7.7258 64.75 90.00 90.00
Positions (direct):
W 0.0000 0.9854 0.0146
Pt 0.5000 0.7224 0.7776
Y 0.0000 0.4968 0.5029
W 0.5000 0.2953 0.2049


[8]
Y3PtW | GGA-PBE | optimized geometry

Calculated values
DFT formation energy = 0.559 eV/atom
DOS at the Fermi energy = 5.00 states/eV/f.u.
Space group = Pm-3m
Raw total energy = -7.118 eV per atom
Total moment = 0.00 μB per cell

Lattice parameters (Å, degrees): 5.2881 5.2881 5.2881 90.00 90.00 90.00
Positions (direct):
W 0.5000 0.5000 0.5000
Y 0.0000 0.0000 0.5000
Pt 0.0000 0.0000 0.0000
Y 0.5000 0.0000 0.0000
Y 0.0000 0.5000 0.0000


[9]
YPtW2 | GGA-PBE | optimized geometry

Calculated values
DFT formation energy = 0.358 eV/atom
DOS at the Fermi energy = 5.09 states/eV/f.u.
Space group = R3m
Raw total energy = -9.245 eV per atom
Total moment = 0.00 μB per cell

Lattice parameters (Å, degrees): 10.0822 10.0822 10.0822 16.52 16.52 16.52
Positions (direct):
W 0.2559 0.2559 0.2559
W 0.0026 0.0026 0.0026
Pt 0.7440 0.7440 0.7440
Y 0.4976 0.4976 0.4976


[10]
YPtW2 | GGA-PBE | optimized geometry

Calculated values
DFT formation energy = 0.476 eV/atom
DOS at the Fermi energy = 3.94 states/eV/f.u.
Space group = R-3m
Raw total energy = -9.127 eV per atom
Total moment = 0.01 μB per cell

Lattice parameters (Å, degrees): 10.0523 10.0523 10.0523 16.67 16.67 16.67
Positions (direct):
W 0.0084 0.0084 0.0084
Pt 0.7500 0.7500 0.7500
W 0.4916 0.4916 0.4916
Y 0.2500 0.2500 0.2500


[11]
YPtW2 | GGA-PBE | optimized geometry

Calculated values
DFT formation energy = 0.106 eV/atom
DOS at the Fermi energy = 3.74 states/eV/f.u.
Space group = Pmmm
Raw total energy = -9.497 eV per atom
Total moment = 0.00 μB per cell

Lattice parameters (Å, degrees): 3.4651 4.3266 4.9022 90.00 90.00 90.00
Positions (direct):
W 0.0000 0.0000 0.0000
Pt 0.0000 0.5000 0.5000
W 0.5000 0.5000 0.0000
Y 0.5000 0.0000 0.5000


[12]
YPtW2 | GGA-PBE | optimized geometry

Calculated values
DFT formation energy = 0.428 eV/atom
DOS at the Fermi energy = 2.87 states/eV/f.u.
Space group = Pmmm
Raw total energy = -9.175 eV per atom
Total moment = 0.00 μB per cell

Lattice parameters (Å, degrees): 2.8021 4.8040 5.4823 90.00 90.00 90.00
Positions (direct):
Pt 0.5000 0.5000 0.7500
W 0.0000 0.0000 0.5036
W 0.0000 0.0000 0.9964
Y 0.5000 0.5000 0.2500


Q: Among the records above, which one has the highest total moment?
A: number 10


Repeat the twelfth record exactly.
YPtW2 | GGA-PBE | optimized geometry

Calculated values
DFT formation energy = 0.428 eV/atom
DOS at the Fermi energy = 2.87 states/eV/f.u.
Space group = Pmmm
Raw total energy = -9.175 eV per atom
Total moment = 0.00 μB per cell

Lattice parameters (Å, degrees): 2.8021 4.8040 5.4823 90.00 90.00 90.00
Positions (direct):
Pt 0.5000 0.5000 0.7500
W 0.0000 0.0000 0.5036
W 0.0000 0.0000 0.9964
Y 0.5000 0.5000 0.2500


Q: Which formula does entry 12 have?
A: YPtW2